## CeSc2Ni (PBE)

Data for CeSc2Ni after structural relaxation.

Structure (POSCAR):
```
CeSc2Ni
1.0
-0.5428 3.2862 -0.3839
-2.8985 1.3495 1.0091
2.4792 3.1157 8.5242
Sc Ni Ce
2 1 1
Cartesian
-0.4699 1.8385 1.7614
-0.4922 5.9128 7.3880
0.0000 0.0000 0.0000
-0.4810 3.8756 4.5747
```

Calculated values
- Formation energy from the elements: -0.030 eV per atom
- Density: 5.35 g cm⁻³
- Crystal system: trigonal
- Energy above the lowest structure with this stoichiometry: 0.71 eV/f.u.
- Symmetry: R-3m (166)

## CeSc2Ni (PBE)

Data for CeSc2Ni after structural relaxation.

Structure (POSCAR):
```
CeSc2Ni
1.0
3.2032 0.0000 0.0000
0.0000 3.2032 0.0000
0.0000 0.0000 8.2867
Sc Ni Ce
2 1 1
Cartesian
0.0000 0.0000 6.7598
0.0000 0.0000 1.5269
1.6016 1.6016 0.0000
1.6016 1.6016 4.1433
```

Calculated values
- Formation energy from the elements: -0.207 eV per atom
- Density: 5.64 g cm⁻³
- Crystal system: tetragonal
- Energy above the lowest structure with this stoichiometry: 0.00 eV/f.u.
- Symmetry: P4/mmm (123)

## CeSc2Ni (PBE)

Data for CeSc2Ni after structural relaxation.

Structure (POSCAR):
```
CeSc2Ni
1.0
5.9753 0.0000 0.0000
0.0000 6.4947 0.0000
0.0000 0.0000 9.1992
Ce Sc Ni
4 8 4
Cartesian
3.8204 3.4444 2.2998
5.1426 0.1971 2.2998
2.1549 3.0503 6.8994
0.8327 6.2976 6.8994
1.0169 4.3843 0.5630
1.9707 1.1370 4.0366
4.9584 2.1104 5.1626
4.0046 5.3578 8.6362
4.9584 2.1104 8.6362
4.0046 5.3578 5.1626
1.0169 4.3843 4.0366
1.9707 1.1370 0.5630
0.4016 2.4804 2.2998
2.5860 5.7277 2.2998
5.5737 4.0143 6.8994
3.3893 0.7670 6.8994
```

Calculated values
- Formation energy from the elements: -0.204 eV per atom
- Density: 5.37 g cm⁻³
- Crystal system: orthorhombic
- Energy above the lowest structure with this stoichiometry: 0.01 eV/f.u.
- Symmetry: Pnma (62)

## CeScNi4 (PBE)

Data for CeScNi4 after structural relaxation.

Structure (POSCAR):
```
CeScNi4
1.0
-4.7082 1.4455 0.8521
-3.7700 -2.2053 -2.4304
-3.1343 -3.0176 2.4603
Sc Ni Ce
1 4 1
Cartesian
0.0000 0.0000 0.0000
-5.6899 -0.8453 -0.6863
-5.3700 -1.2541 1.7752
-7.2673 -2.3640 0.5520
-4.8978 -3.0915 0.1231
-2.9031 -0.9444 0.2205
```

Calculated values
- Formation energy from the elements: -0.427 eV per atom
- Density: 7.90 g cm⁻³
- Crystal system: cubic
- Symmetry: F-43m (216)

## CeSc3Ni8 (PBE)

Data for CeSc3Ni8 after structural relaxation.

Structure (POSCAR):
```
CeSc3Ni8
1.0
4.9395 0.0000 0.0000
2.4698 4.2777 0.0000
2.4698 1.4259 8.0822
Ce Sc Ni
1 3 8
Cartesian
7.4093 4.2777 3.0154
4.9395 2.8518 7.0942
2.4698 1.4259 7.9967
4.9395 2.8518 4.1308
6.1743 2.1389 1.4758
6.1658 4.9957 5.5909
3.7047 2.1389 1.4758
8.6527 4.9957 5.5909
2.4698 1.4259 3.5416
7.4093 4.2777 7.5759
4.9395 4.2776 1.4758
7.4093 2.8419 5.5909
```

Calculated values
- Formation energy from the elements: -0.480 eV per atom
- Density: 7.24 g cm⁻³
- Crystal system: trigonal
- Energy above the lowest structure with this stoichiometry: 0.00 eV/f.u.
- Symmetry: R3m (160)

## CeSc3Ni8 (PBE)

Data for CeSc3Ni8 after structural relaxation.

Structure (POSCAR):
```
CeSc3Ni8
1.0
-1.4719 -2.5323 -3.9853
-0.0310 -2.1566 4.4508
-7.5898 2.5501 1.1827
Ce Sc Ni
1 3 8
Cartesian
-4.3084 1.4476 0.6714
-4.2155 -1.3239 -0.6709
-1.4472 -2.2540 -1.1023
-7.2044 2.4207 1.1227
-4.2939 -1.0109 2.2282
-8.0868 0.2635 2.8193
-6.4655 0.6508 -1.0946
-6.4809 -0.4204 1.1160
-7.2119 -1.6781 -0.8634
-2.1230 -0.5164 1.1122
-2.1385 -1.5922 3.3325
-2.8727 -2.8554 1.3444
```

Calculated values
- Formation energy from the elements: -0.457 eV per atom
- Density: 7.21 g cm⁻³
- Crystal system: trigonal
- Energy above the lowest structure with this stoichiometry: 0.27 eV/f.u.
- Symmetry: P3m1 (156)